Record 1
YZnS3 | PBE | optimized geometry

Distance to the lowest polymorph of the same formula (meV/atom): 413
E_form (uncorrected) (meV per atom): -205.9
N(E_F) (states/eV/cell): 6.479
Volume (Å³/cell): 143.8
Size of the total moment (μB per atom): 0.21
Electronic total energy (eV per atom): -4.230

extended XYZ file:
```
5
Lattice="-1.626 -4.352 2.421 4.411 -0.076 2.826 -2.313 2.916 3.687" Properties=species:S:1:pos:R:3 pbc="T T T"
Y 0.000 0.000 0.000
Zn 0.236 -0.756 4.468
S 2.205 -0.038 1.413
S -1.157 1.458 1.844
S -0.813 -2.176 1.211
```

Record 2
Y6ZnS4 | PBE | optimized geometry

E_form (uncorrected) (meV per atom): -1549.9
N(E_F) (states/eV/cell): 11.134
Volume (Å³/cell): 509.4
Size of the total moment (μB per atom): 0.00
Electronic total energy (eV per atom): -6.692

extended XYZ file:
```
22
Lattice="-2.147 -1.639 2.838 6.496 -0.970 1.650 0.037 17.355 10.052" Properties=species:S:1:pos:R:3 pbc="T T T"
Y -1.073 -0.820 1.419
Y -1.055 7.858 6.445
Y 0.488 5.705 3.664
Y 3.899 9.041 10.876
Y 3.905 12.087 12.640
Y 0.482 2.659 1.900
Y 1.897 5.412 7.265
Y 2.489 9.334 7.275
Y 2.502 15.070 10.597
Y 1.885 -0.324 3.943
Y 3.602 3.153 4.546
Y 0.785 11.593 9.994
Zn 0.661 2.950 4.908
Zn 3.726 11.796 9.632
S 2.876 7.258 9.072
S 4.431 0.675 3.742
S 1.511 7.488 5.468
S -0.045 14.071 10.798
S 2.891 14.543 13.291
S 1.495 0.203 1.248
S -0.054 9.665 8.246
S 4.441 5.081 6.294
```

Record 3
Y8Zn2S | PBE | optimized geometry

E_form (uncorrected) (meV per atom): -446.4
N(E_F) (states/eV/cell): 14.843
Volume (Å³/cell): 307.2
Size of the total moment (μB per atom): 0.03
Electronic total energy (eV per atom): -5.754

extended XYZ file:
```
11
Lattice="3.670 0.000 -0.780 -0.173 9.267 -0.815 0.006 -0.240 9.055" Properties=species:S:1:pos:R:3 pbc="T T T"
Y 2.084 4.995 0.782
Y 1.094 8.980 5.149
Y 0.734 3.054 3.456
Y 3.494 7.040 7.421
Y 2.768 5.973 4.004
Y 2.409 0.047 2.311
Y 1.419 4.032 6.678
Y 0.008 1.987 0.039
Zn 0.497 7.042 2.341
Zn 3.005 1.985 5.119
S 1.835 0.000 -0.390
```

Record 4
Y2ZnS4 | PBE | optimized geometry

Distance to the lowest polymorph of the same formula (meV/atom): 34
E_form (uncorrected) (meV per atom): -1669.3
Volume (Å³/cell): 336.0
Size of the total moment (μB per atom): 0.00
Electronic total energy (eV per atom): -6.057

extended XYZ file:
```
14
Lattice="-5.420 -3.888 -4.050 -1.722 -7.378 1.870 -6.869 -1.688 3.296" Properties=species:S:1:pos:R:3 pbc="T T T"
Y -6.047 -6.152 2.722
Y -7.896 -4.408 -0.238
Y -5.322 -7.252 -0.951
Y -8.757 -8.097 0.697
Zn -3.503 -3.239 0.279
Zn 0.000 0.000 0.000
S -7.952 -6.798 -1.579
S -6.126 -8.521 1.343
S -8.667 -5.712 2.047
S -5.276 -4.879 0.420
S -9.562 -9.395 2.973
S -11.387 -7.673 0.051
S -8.846 -10.481 -0.652
S -12.237 -11.315 0.974
```

Record 5
Y5ZnS4 | PBE | optimized geometry

E_form (uncorrected) (meV per atom): -1673.4
N(E_F) (states/eV/cell): 2.981
Volume (Å³/cell): 220.3
Size of the total moment (μB per atom): 0.00
Electronic total energy (eV per atom): -6.684

extended XYZ file:
```
10
Lattice="5.050 0.000 2.436 2.525 6.268 1.218 -0.198 0.000 6.863" Properties=species:S:1:pos:R:3 pbc="T T T"
Y 5.407 2.537 8.163
Y 3.435 5.004 5.798
Y 3.953 1.264 4.724
Y 1.981 3.730 2.359
Y 2.531 0.000 1.221
Zn 0.006 0.000 0.003
S 2.885 2.522 6.939
S 5.953 4.996 7.030
S 1.435 1.271 3.492
S 4.503 3.746 3.583
```

Record 6
Y4ZnS3 | PBE | optimized geometry

E_form (uncorrected) (meV per atom): -1581.6
N(E_F) (states/eV/cell): 2.703
Volume (Å³/cell): 177.7
Size of the total moment (μB per atom): 0.00
Electronic total energy (eV per atom): -6.521

extended XYZ file:
```
8
Lattice="-0.042 5.492 -1.228 -3.139 -1.042 -4.553 -3.065 -1.576 5.952" Properties=species:S:1:pos:R:3 pbc="T T T"
Y -4.677 3.395 2.447
Y -6.225 0.128 0.785
Y -2.380 0.332 1.565
Y -3.866 2.542 -1.394
Zn 0.000 0.000 0.000
S -1.591 2.225 -2.891
S -2.349 3.070 0.917
S -3.897 -0.196 -0.746
```